Entry 1:
Here is a geometry-optimized LaSc2Os structure from Alexandria via LeMat-Bulk. Energies are from PBE-GGA.

a = 6.955 Å, b = 6.955 Å, c = 6.955 Å
α = 90.00°, β = 90.00°, γ = 90.00°
Space group Fm-3m (No. 225)
One atom of each set of equivalent atoms:
La (0.000, 0.000, 0.000) x4
Sc (0.250, 0.250, 0.250) x8
Os (0.000, 0.000, 0.500) x4

Results
crystal system	cubic
final energy	-7.1564	eV/atom
energy above the lowest structure with this stoichiometry	0.304	eV/atom

Entry 2:
Here is a geometry-optimized LaSc2Os structure from Alexandria via LeMat-Bulk. Energies are from PBE-GGA.

a = 4.280 Å, b = 4.280 Å, c = 20.689 Å
α = 90.00°, β = 90.00°, γ = 90.00°
Space group I-42d (No. 122)
One atom of each set of equivalent atoms:
La (0.000, 0.000, 0.000) x4
Sc (0.218, 0.250, 0.625) x8
Os (0.000, 0.000, 0.500) x4

Results
crystal system	tetragonal
final energy	-6.8276	eV/atom
energy above the lowest structure with this stoichiometry	0.632	eV/atom

Entry 3:
Here is a geometry-optimized LaSc2Os structure from Alexandria via LeMat-Bulk. Energies are from PBE-GGA.

a = 3.417 Å, b = 3.798 Å, c = 7.340 Å
α = 90.00°, β = 90.00°, γ = 90.00°
Space group Pmm2 (No. 25)
One atom of each set of equivalent atoms:
La (0.000, 0.000, 0.000) x1
Sc (0.000, 0.000, 0.421) x1
Sc (0.500, 0.500, 0.661) x1
Os (0.500, 0.500, 0.279) x1

Results
crystal system	orthorhombic
final energy	-7.2261	eV/atom
energy above the lowest structure with this stoichiometry	0.234	eV/atom

Entry 4:
Here is a geometry-optimized LaScOs3 structure from Alexandria via LeMat-Bulk. Energies are from PBE-GGA.

a = 4.762 Å, b = 4.762 Å, c = 4.762 Å
α = 90.00°, β = 90.00°, γ = 90.00°
Space group Pm-3m (No. 221)
One atom of each set of equivalent atoms:
La (0.000, 0.000, 0.000) x1
Sc (0.500, 0.500, 0.500) x1
Os (0.000, 0.500, 0.500) x3

Results
crystal system	cubic
final energy	-7.7044	eV/atom
energy above the lowest structure with this stoichiometry	0.000	eV/atom

Entry 5:
Here is a geometry-optimized LaSc2Os structure from Alexandria via LeMat-Bulk. Energies are from PBE-GGA.

a = 4.844 Å, b = 4.844 Å, c = 3.616 Å
α = 90.00°, β = 90.00°, γ = 90.00°
Space group P4/mmm (No. 123)
One atom of each set of equivalent atoms:
La (0.000, 0.000, 0.000) x1
Sc (0.000, 0.500, 0.500) x2
Os (0.500, 0.500, 0.000) x1

Results
crystal system	tetragonal
final energy	-6.9978	eV/atom
energy above the lowest structure with this stoichiometry	0.462	eV/atom

Entry 6:
Here is a geometry-optimized LaScOs4 structure from Alexandria via LeMat-Bulk. Energies are from PBE-GGA.

a = 7.588 Å, b = 7.588 Å, c = 7.588 Å
α = 90.00°, β = 90.00°, γ = 90.00°
Space group F-43m (No. 216)
One atom of each set of equivalent atoms:
La (0.000, 0.000, 0.000) x4
Sc (0.250, 0.250, 0.250) x4
Os (0.124, 0.124, 0.624) x16

Results
crystal system	cubic
final energy	-9.4684	eV/atom

Entry 7:
Here is a geometry-optimized La2ScOs structure from Alexandria via LeMat-Bulk. Energies are from PBE-GGA.

a = 6.246 Å, b = 10.028 Å, c = 3.307 Å
α = 90.00°, β = 113.57°, γ = 90.00°
Space group C2/m (No. 12)
One atom of each set of equivalent atoms:
La (0.250, 0.250, 0.000) x4
Sc (0.000, 0.000, 0.500) x2
Os (0.000, 0.500, 0.500) x2

Results
crystal system	monoclinic
final energy	-6.5129	eV/atom
energy above the lowest structure with this stoichiometry	0.421	eV/atom

Entry 8:
Here is a geometry-optimized La2Sc2Os structure from Alexandria via LeMat-Bulk. Energies are from PBE-GGA.

a = 6.848 Å, b = 6.848 Å, c = 5.687 Å
α = 90.00°, β = 90.00°, γ = 90.00°
Space group P4/mbm (No. 127)
One atom of each set of equivalent atoms:
La (0.171, 0.329, 0.000) x4
Sc (0.162, 0.662, 0.500) x4
Os (0.000, 0.000, 0.500) x2

Results
crystal system	tetragonal
final energy	-6.7181	eV/atom

The ρ results, record by record, are as follows: 8274; 7345; 7304; 11600; 8200; 14362; 8975; 6947 kg/m³.